Entry 1:
CaDyAlGa: relaxed, PBE.

extended XYZ file:
```
4
Lattice="0.000 3.637 3.637 3.637 0.000 3.637 3.637 3.637 0.000" Properties=species:S:1:pos:R:3 pbc="T T T"
Ca 0.000 0.000 0.000
Dy 3.637 3.637 3.637
Al 5.456 5.456 5.456
Ga 1.819 1.819 1.819
```

Summary:
D(E_F) (states/eV/cell): 2.78
Formation energy from the elements (meV/atom): -369
Total DFT energy (no corrections) (eV/atom): -3.712


Entry 2:
CaDyAl2Ga2: relaxed, PBE.

extended XYZ file:
```
6
Lattice="4.389 0.000 0.000 -2.194 3.801 0.000 0.000 0.000 7.934" Properties=species:S:1:pos:R:3 pbc="T T T"
Ca 0.000 0.000 0.000
Dy 0.000 0.000 3.967
Al 0.000 2.534 5.831
Al 2.194 1.267 2.103
Ga 0.000 2.534 2.112
Ga 2.194 1.267 5.822
```

Summary:
D(E_F) (states/eV/cell): 1.72
Formation energy from the elements (meV/atom): -472
Total DFT energy (no corrections) (eV/atom): -3.829


- What is the formula in the second record?
  CaDyAl2Ga2